# 1
Below is a relaxed structure of Ce2BeGa2Au4, with properties calculated at the PBE level.

```
9
Lattice="-3.260 3.260 4.323 3.260 -3.260 4.323 3.260 3.260 -4.323" Properties=species:S:1:pos:R:3 pbc="T T T"
Ce 3.260 0.000 2.161
Ce 0.000 3.260 2.161
Be 0.000 0.000 0.000
Ga 0.000 0.000 2.617
Ga 0.000 0.000 6.029
Au 1.676 1.676 0.000
Au 1.584 -1.584 4.323
Au -1.584 1.584 4.323
Au 1.584 1.584 4.323
```

Properties
Formation energy from the elements (meV/atom): -448



# 2
Below is a relaxed structure of CeBeGa2Au4, with properties calculated at the PBE level.

```
8
Lattice="2.233 1.289 8.597 -2.233 1.289 8.597 0.000 -2.578 8.597" Properties=species:S:1:pos:R:3 pbc="T T T"
Ce 0.000 0.000 0.000
Be 0.000 0.000 12.895
Ga 0.000 0.000 6.476
Ga 0.000 0.000 19.315
Au 0.000 0.000 3.633
Au 0.000 0.000 10.417
Au 0.000 0.000 15.374
Au 0.000 0.000 22.158
```

Properties
Formation energy from the elements (meV/atom): -362



# 3
Below is a relaxed structure of Ce2Be3Ge4Au, with properties calculated at the PBE level.

```
10
Lattice="4.208 0.000 0.000 0.000 4.208 0.000 0.000 0.000 9.763" Properties=species:S:1:pos:R:3 pbc="T T T"
Ce 0.000 2.104 2.352
Ce 2.104 0.000 7.410
Be 0.000 2.104 8.612
Be 2.104 0.000 1.150
Be 2.104 2.104 4.881
Ge 0.000 0.000 0.000
Ge 0.000 2.104 6.357
Ge 2.104 0.000 3.406
Ge 2.104 2.104 0.000
Au 0.000 0.000 4.881
```

Properties
Formation energy from the elements (meV/atom): -393



# 4
Below is a relaxed structure of Ce2BeGe2Au4, with properties calculated at the PBE level.

```
9
Lattice="-3.120 3.120 4.713 3.120 -3.120 4.713 3.120 3.120 -4.713" Properties=species:S:1:pos:R:3 pbc="T T T"
Ce 3.120 0.000 2.357
Ce 0.000 3.120 2.357
Be 0.000 0.000 0.000
Ge 0.000 0.000 2.809
Ge 0.000 0.000 6.617
Au 1.626 1.626 0.000
Au 1.495 -1.495 4.713
Au -1.495 1.495 4.713
Au 1.495 1.495 4.713
```

Properties
Formation energy from the elements (meV/atom): -451



# 5
Below is a relaxed structure of CeBeGeAu, with properties calculated at the PBE level.

```
8
Lattice="4.267 0.000 0.000 0.000 4.267 0.000 0.000 0.000 8.767" Properties=species:S:1:pos:R:3 pbc="T T T"
Ce 1.067 1.067 1.715
Ce 3.200 3.200 7.051
Be 1.067 1.067 5.404
Be 3.200 3.200 3.363
Ge 1.067 1.067 7.599
Ge 3.200 3.200 1.168
Au 1.067 3.200 4.383
Au 3.200 1.067 4.383
```

Properties
Formation energy from the elements (meV/atom): -450



# 6
Below is a relaxed structure of Ce2Be4Ge3Au, with properties calculated at the PBE level.

```
10
Lattice="4.096 0.000 0.000 0.000 4.096 0.000 0.000 0.000 9.619" Properties=species:S:1:pos:R:3 pbc="T T T"
Ce 0.000 2.048 2.328
Ce 2.048 0.000 7.291
Be 0.000 0.000 0.000
Be 0.000 2.048 6.076
Be 2.048 0.000 3.543
Be 2.048 2.048 0.000
Ge 0.000 2.048 8.379
Ge 2.048 0.000 1.240
Ge 2.048 2.048 4.809
Au 0.000 0.000 4.809
```

Properties
Formation energy from the elements (meV/atom): -416



# 7
Below is a relaxed structure of CeBeH6Au, with properties calculated at the PBE level.

```
9
Lattice="4.365 0.000 0.000 -1.960 3.905 0.000 -0.281 -0.464 4.712" Properties=species:S:1:pos:R:3 pbc="T T T"
Ce 0.000 0.000 0.000
Be 2.318 0.934 2.357
H 1.929 -0.323 3.499
H 0.994 1.460 4.284
H 1.261 1.900 0.436
H 2.225 0.130 1.018
H 3.006 1.392 3.691
H 3.271 1.867 1.205
Au 0.317 2.166 2.360
```

Properties
E (eV/atom): -3.770



# 8
Below is a relaxed structure of Ce2BeInAu6, with properties calculated at the PBE level.

```
10
Lattice="5.994 -2.334 0.000 5.994 2.334 0.000 -2.849 0.000 7.680" Properties=species:S:1:pos:R:3 pbc="T T T"
Ce 1.996 0.000 2.254
Ce 7.143 0.000 5.426
Be 5.994 0.000 0.000
In -1.424 0.000 3.840
Au -1.845 0.000 6.657
Au 0.938 0.000 7.350
Au 3.199 0.000 5.088
Au 5.939 0.000 2.592
Au 8.201 0.000 0.330
Au 10.984 0.000 1.023
```

Properties
Formation energy from the elements (meV/atom): -433



| no. | DOS at the Fermi energy (states/eV per cell) |
| --- | --- |
| 1 | 15.31 |
| 2 | 7.58 |
| 3 | 10.59 |
| 4 | 13.49 |
| 5 | 9.78 |
| 6 | 10.91 |
| 7 | 5.25 |
| 8 | 14.57 |